No. 1
SrLi | PBEsol | relaxed

Cell: 7.154 7.154 8.239 Å, 107.49 107.49 33.61°
Fractional coordinates of all 6 atoms:
Sr1 0.000 0.000 0.000
Sr2 0.003 0.003 0.524
Sr3 0.294 0.294 0.160
Li1 0.308 0.308 0.654
Li2 0.673 0.673 0.386
Li3 0.692 0.692 0.805

Calculated values
**Total magnetic moment**: 0.0 Bohr magnetons per cell
**DFT total energy**: -1.85 eV/atom
**Space group**: Cm, No. 8

=====

No. 2
DyPd | PBEsol | relaxed

Cell: 3.449 3.449 3.449 Å, 90.00 90.00 90.00°
Fractional coordinates of all 2 atoms:
Dy1 0.000 0.000 0.000
Pd1 0.500 0.500 0.500

Calculated values
**Total magnetic moment**: 0.0 Bohr magnetons per cell
**DFT total energy**: -6.34 eV/atom
**Space group**: Pm-3m, No. 221

=====

No. 3
CaFe3Se | PBEsol | relaxed

Cell: 4.508 4.508 4.508 Å, 90.00 90.00 90.00°
Fractional coordinates of all 5 atoms:
Ca1 0.000 0.000 0.000
Fe1 0.000 0.000 0.500
Fe2 0.000 0.500 0.000
Fe3 0.500 0.000 0.000
Se1 0.500 0.500 0.500

Calculated values
**Formation energy from raw total energies**: 1986 meV/atom
**Total magnetic moment**: 7.3 Bohr magnetons per cell
**DFT total energy**: -4.59 eV/atom
**Space group**: Pm-3m, No. 221

=====

No. 4
PrAlO3 | PBEsol | relaxed

Cell: 5.297 5.297 5.297 Å, 60.54 60.54 60.54°
Fractional coordinates of all 10 atoms:
Pr1 0.250 0.250 0.250
Pr2 0.750 0.750 0.750
Al1 0.000 0.000 0.000
Al2 0.500 0.500 0.500
O1 0.204 0.750 0.296
O2 0.250 0.704 0.796
O3 0.296 0.204 0.750
O4 0.704 0.796 0.250
O5 0.750 0.296 0.204
O6 0.796 0.250 0.704

Calculated values
**Formation energy from raw total energies**: -3327 meV/atom
**Total magnetic moment**: 0.0 Bohr magnetons per cell
**DFT total energy**: -8.33 eV/atom
**Space group**: R-3c, No. 167

=====

No. 5
LaCo2Rh2 | PBEsol | relaxed

Cell: 5.980 5.980 5.980 Å, 141.12 141.12 56.16°
Fractional coordinates of all 5 atoms:
La1 0.000 0.000 0.000
Co1 0.250 0.750 0.500
Co2 0.750 0.250 0.500
Rh1 0.382 0.382 0.000
Rh2 0.618 0.618 0.000

Calculated values
**Total magnetic moment**: 4.3 Bohr magnetons per cell
**DFT total energy**: -7.44 eV/atom
**Space group**: I4/mmm, No. 139

=====

No. 6
FeMo2HIr | PBEsol | relaxed

Cell: 3.878 3.878 3.742 Å, 90.00 90.00 90.00°
Fractional coordinates of all 5 atoms:
Fe1 0.000 0.000 0.000
Mo1 0.000 0.500 0.500
Mo2 0.500 0.000 0.500
H1 0.000 0.000 0.500
Ir1 0.500 0.500 0.000

Calculated values
**Total magnetic moment**: 0.0 Bohr magnetons per cell
**DFT total energy**: -9.22 eV/atom
**Space group**: P4/mmm, No. 123

=====

No. 7
CrSn2HgIr | PBEsol | relaxed

Cell: 4.996 4.996 4.444 Å, 90.00 90.00 90.00°
Fractional coordinates of all 5 atoms:
Cr1 0.000 0.000 0.000
Sn1 0.000 0.500 0.000
Sn2 0.500 0.000 0.000
Hg1 0.500 0.500 0.500
Ir1 0.000 0.000 0.500

Calculated values
**Total magnetic moment**: 0.0 Bohr magnetons per cell
**DFT total energy**: -5.16 eV/atom
**Space group**: P4/mmm, No. 123

=====

No. 8
KGdMo2O8 | PBEsol | relaxed

Cell: 5.106 18.233 7.943 Å, 90.00 90.00 90.00°
Fractional coordinates of all 48 atoms:
K1 0.000 0.229 0.250
K2 0.000 0.771 0.750
K3 0.500 0.271 0.750
K4 0.500 0.729 0.250
Gd1 0.000 0.006 0.750
Gd2 0.000 0.994 0.250
Gd3 0.500 0.494 0.250
Gd4 0.500 0.506 0.750
Mo1 0.019 0.398 0.517
Mo2 0.019 0.602 0.017
Mo3 0.481 0.102 0.017
Mo4 0.481 0.898 0.517
Mo5 0.519 0.102 0.483
Mo6 0.519 0.898 0.983
Mo7 0.981 0.398 0.983
Mo8 0.981 0.602 0.483
O1 0.110 0.311 0.978
O2 0.110 0.689 0.478
O3 0.227 0.399 0.340
O4 0.227 0.601 0.840
O5 0.239 0.406 0.693
O6 0.239 0.594 0.193
O7 0.248 0.466 0.005
O8 0.248 0.534 0.505
O9 0.252 0.034 0.505
O10 0.252 0.966 0.005
O11 0.261 0.094 0.193
O12 0.261 0.906 0.693
O13 0.273 0.101 0.840
O14 0.273 0.899 0.340
O15 0.390 0.189 0.478
O16 0.390 0.811 0.978
O17 0.610 0.189 0.022
O18 0.610 0.811 0.522
O19 0.727 0.101 0.660
O20 0.727 0.899 0.160
O21 0.739 0.094 0.307
O22 0.739 0.906 0.807
O23 0.748 0.034 0.995
O24 0.748 0.966 0.495
O25 0.752 0.466 0.495
O26 0.752 0.534 0.995
O27 0.761 0.406 0.807
O28 0.761 0.594 0.307
O29 0.773 0.399 0.160
O30 0.773 0.601 0.660
O31 0.890 0.311 0.522
O32 0.890 0.689 0.022

Calculated values
**Formation energy from raw total energies**: -2443 meV/atom
**Total magnetic moment**: 27.8 Bohr magnetons per cell
**DFT total energy**: -9.20 eV/atom
**Space group**: Pbcn, No. 60

=====

No. 9
MgZnNi2 | PBEsol | relaxed

Cell: 4.562 4.562 4.562 Å, 133.22 133.22 68.32°
Fractional coordinates of all 4 atoms:
Mg1 0.000 0.000 0.000
Zn1 0.250 0.750 0.500
Ni1 0.500 0.500 0.000
Ni2 0.750 0.250 0.500

Calculated values
**Total magnetic moment**: 0.0 Bohr magnetons per cell
**DFT total energy**: -4.03 eV/atom
**Space group**: I-4m2, No. 119

=====

No. 10
LiSnSe3 | PBEsol | relaxed

Cell: 5.263 5.263 5.263 Å, 90.00 90.00 90.00°
Fractional coordinates of all 5 atoms:
Li1 0.000 0.000 0.000
Sn1 0.500 0.500 0.500
Se1 0.000 0.500 0.500
Se2 0.500 0.000 0.500
Se3 0.500 0.500 0.000

Calculated values
**Formation energy from raw total energies**: -15 meV/atom
**Total magnetic moment**: 0.0 Bohr magnetons per cell
**DFT total energy**: -3.57 eV/atom
**Space group**: Pm-3m, No. 221

=====

No. 11
AsPbAu2 | PBEsol | relaxed

Cell: 8.753 8.753 8.753 Å, 147.44 147.44 46.71°
Fractional coordinates of all 8 atoms:
As1 0.000 0.000 0.000
As2 0.750 0.250 0.500
Pb1 0.250 0.750 0.500
Pb2 0.500 0.500 0.000
Au1 0.025 0.625 0.900
Au2 0.375 0.275 0.400
Au3 0.725 0.125 0.100
Au4 0.875 0.975 0.600

Calculated values
**Total magnetic moment**: 0.0 Bohr magnetons per cell
**DFT total energy**: -4.16 eV/atom
**Space group**: I-42d, No. 122

=====

No. 12
BaSi2Sb | PBEsol | relaxed

Cell: 3.757 3.757 6.927 Å, 90.00 90.00 90.00°
Fractional coordinates of all 4 atoms:
Ba1 0.000 0.000 0.000
Si1 0.000 0.000 0.540
Si2 0.500 0.500 0.696
Sb1 0.500 0.500 0.331

Calculated values
**Formation energy from raw total energies**: -50 meV/atom
**Total magnetic moment**: 0.0 Bohr magnetons per cell
**DFT total energy**: -4.60 eV/atom
**Space group**: P4mm, No. 99